# LaRhPb2

An optimized crystal structure of LaRhPb2 (GGA-PBE, Alexandria).

Formation energy   -0.270 eV/atom
Electronic total energy   -20.8 eV/cell
Total magnetic moment   0.000 μB/atom
D(E_F)   2.82 states/eV/f.u.
Space-group type   No. 99
Volume   26.65 A^3/atom

Cell lengths 3.5368, 3.5368, 8.5212 Å; angles 90.00, 90.00, 90.00 degrees
Last column: nearest neighbours and their distance in Å.
Atoms (fractional coordinates):
La (0.5000, 0.5000, 0.6946)  4 Rh 2.99
Rh (0.0000, 0.0000, 0.5027)  4 La 2.99, 4 Pb 3.06
Pb (0.0000, 0.0000, 0.0073)  8 Pb 3.50-3.54, 4 La 3.65
Pb (0.5000, 0.5000, 0.2954)  4 Rh 3.06, 1 La 3.40

# PuThSc

An optimized crystal structure of PuThSc (GGA-PBE, Alexandria).

Formation energy   0.119 eV/atom
Electronic total energy   -55.5 eV/cell
E above lowest polymorph   6 meV per atom
Total magnetic moment   1.858 μB/atom
D(E_F)   8.70 states/eV/f.u.
Space-group type   No. 12
Volume   27.46 A^3/atom

Cell lengths 3.4889, 7.3177, 6.8613 Å; angles 103.98, 90.00, 103.79 degrees
Last column: nearest neighbours and their distance in Å.
Atoms (fractional coordinates):
Pu (0.1732, 0.3463, 0.0942)  4 Pu 3.30-3.49, 4 Th 3.33-3.50, 4 Sc 3.34-3.36
Pu (0.8268, 0.6537, 0.9058)  4 Pu 3.30-3.49, 4 Th 3.33-3.50, 4 Sc 3.34-3.36
Th (0.1597, 0.3194, 0.5773)  4 Pu 3.33-3.50, 4 Sc 3.36-3.37, 4 Th 3.48-3.49
Th (0.8403, 0.6806, 0.4227)  4 Pu 3.33-3.50, 4 Sc 3.36-3.37, 4 Th 3.48-3.49
Sc (0.5026, 0.0052, 0.7707)  3 Sc 3.17-3.49, 4 Pu 3.34-3.36, 4 Th 3.36-3.37
Sc (0.4974, 0.9948, 0.2293)  3 Sc 3.17-3.49, 4 Pu 3.34-3.36, 4 Th 3.36-3.37

Q: Number 2 is which compound?
A: PuThSc